(1)
4
Lattice="5.5476 0.0088 -0.0514 -0.0077 5.5476 -0.0514 0.0332 0.0333 3.6514" Properties=species:S:1:pos:R:3 comment="Sr2CoBr, relaxed, DFT PBE" formation_energy_uncorrected_ev_per_atom=-0.273 polymorph_energy_mev_per_atom=163 dft_energy_ev_per_atom=-3.3089 pbc="T T T"
Co 0.0128 2.7905 1.8000
Sr 2.7700 2.7782 -0.0514
Sr 0.0000 0.0000 0.0000
Br 2.7904 0.0211 1.8000



(2)
16
Lattice="4.8598 0.0000 0.0000 0.0000 7.5457 0.0000 0.0000 0.0000 11.0355" Properties=species:S:1:pos:R:3 comment="KHgAu2, relaxed, DFT PBE" dft_energy_ev_per_atom=-2.1918 ef_ev_per_fu=-0.81 pbc="T T T"
Au 3.6449 2.0071 5.1396
Au 3.6449 0.5273 9.6910
Au 1.2150 5.5386 5.8959
Au 3.6449 5.7800 0.3782
Au 3.6449 4.3002 6.8622
Au 1.2150 7.0184 1.3445
Au 1.2150 1.7658 10.6574
Au 1.2150 3.2455 4.1733
K 3.6449 1.7340 1.9079
K 1.2150 5.8117 9.1277
K 3.6449 5.5069 3.6099
K 1.2150 2.0388 7.4256
Hg 1.2150 4.1254 1.3493
Hg 1.2150 0.3525 4.1685
Hg 3.6449 3.4203 9.6862
Hg 3.6449 7.1932 6.8670



(3)
3
Lattice="-0.2211 -1.7738 3.0448 0.2987 -3.0492 -1.7547 7.9526 2.7477 0.1310" Properties=species:S:1:pos:R:3 comment="NaGdHo, relaxed, DFT PBE" polymorph_energy_mev_per_atom=17 dft_energy_ev_per_atom=-6.5052 ef_ev_per_fu=0.46 pbc="T T T"
Ho 5.1892 0.2183 0.5039
Gd 2.8639 -2.2927 0.9194
Na 8.0074 -2.0763 1.4189



(4)
5
Lattice="-4.2181 1.3057 1.3566 -1.6234 -4.6705 -0.5524 1.1285 -0.9110 4.3857" Properties=species:S:1:pos:R:3 comment="MgFe2MoI, relaxed, DFT PBE" formation_energy_uncorrected_ev_per_atom=1.474 dft_energy_ev_per_atom=-4.7062 pbc="T T T"
Mo -0.8117 -2.3353 -0.2762
Mg -2.3565 -2.1379 2.5950
Fe -2.1091 0.6528 0.6783
Fe 0.5643 -0.4555 2.1929
I 0.0000 0.0000 0.0000



(5)
6
Lattice="4.1465 0.0000 0.0000 0.0000 4.1465 0.0000 0.0000 0.0000 9.0637" Properties=species:S:1:pos:R:3 comment="KSiRh, relaxed, DFT PBE" formation_energy_uncorrected_ev_per_atom=-0.494 polymorph_energy_mev_per_atom=0 dft_energy_ev_per_atom=-5.1177 pbc="T T T"
Si 0.0000 2.0732 3.3593
Si 2.0732 0.0000 5.7044
Rh 0.0000 0.0000 4.5318
Rh 2.0732 2.0732 4.5318
K 0.0000 2.0732 7.4081
K 2.0732 0.0000 1.6556



(6)
14
Lattice="-3.5674 7.3355 -2.1156 -1.3424 -5.7104 -6.0498 -3.4074 -2.6218 7.2476" Properties=species:S:1:pos:R:3 comment="Tb8Y5In, relaxed, DFT PBE" dft_energy_ev_per_atom=-4.9553 ef_ev_per_fu=2.73 pbc="T T T"
Tb -1.7642 -3.1219 -4.2413
Tb -6.0818 -3.2410 -0.5779
Tb -5.7049 4.5891 2.2129
Tb -3.0834 -0.2196 0.7705
Tb -4.2046 3.0420 -0.6455
Tb -5.9713 0.1116 2.8597
Tb -3.5297 -0.3083 -2.9065
Tb -2.9287 -4.8388 -1.1434
Y -4.9767 0.8337 -5.9230
Y -0.8925 -1.9514 -1.0271
Y -6.2416 0.1551 -0.7613
Y -4.5236 -1.0308 5.8757
Y -3.4874 2.3568 2.5660
In -4.1186 -2.9877 1.8819